Entry one
Here is a crystal of SrIr2Ru relaxed with PBEsol from Alexandria via LeMat-Bulk. Energies are from meta-GGA SCAN.

spin magnetization	0.0	μB per cell
DOS(E_F)	3.3	states/eV per cell

Structure (POSCAR):
```
SrIr2Ru
1.0
2.772 0.000 0.000
0.000 5.023 0.000
0.000 -1.751 4.708
Sr Ru Ir
1 1 2
Direct
0.500 0.500 0.500
0.500 0.000 0.000
0.000 0.500 0.000
0.000 0.000 0.500
```

=====

Entry two
Here is a crystal of SrIr2Ru relaxed with PBEsol from Alexandria via LeMat-Bulk. Energies are from meta-GGA SCAN.

spin magnetization	0.0	μB per cell
DOS(E_F)	2.7	states/eV per cell

Structure (POSCAR):
```
SrIr2Ru
1.0
2.846 0.000 0.000
0.000 2.846 0.000
0.000 0.000 8.299
Ir Ru Sr
2 1 1
Direct
0.000 0.000 0.205
0.000 0.000 0.795
0.500 0.500 0.000
0.500 0.500 0.500
```

=====

Entry three
Here is a crystal of SrIr2Ru relaxed with PBEsol from Alexandria via LeMat-Bulk. Energies are from meta-GGA SCAN.

spin magnetization	0.0	μB per cell
DOS(E_F)	3.6	states/eV per cell

Structure (POSCAR):
```
SrIr2Ru
1.0
-2.144 -0.209 -1.836
2.904 -3.710 -0.787
-3.261 -2.241 4.062
Ru Ir Sr
1 2 1
Direct
0.484 0.969 0.419
0.015 0.030 0.065
0.751 0.502 0.262
0.250 0.500 0.753
```

=====

Most stable to least stable: entry two, entry three, entry one

=====

Entry one
Here is a crystal of TaIrRu2 relaxed with PBEsol from Alexandria via LeMat-Bulk. Energies are from meta-GGA SCAN.

spin magnetization	0.0	μB per cell
DOS(E_F)	3.0	states/eV per cell

Structure (POSCAR):
```
TaIrRu2
1.0
2.739 0.000 0.000
0.000 2.739 0.000
0.000 0.000 7.760
Ta Ir Ru
1 1 2
Direct
0.500 0.500 0.000
0.500 0.500 0.500
0.000 0.000 0.262
0.000 0.000 0.738
```

=====

Entry two
Here is a crystal of TaIrRu2 relaxed with PBEsol from Alexandria via LeMat-Bulk. Energies are from meta-GGA SCAN.

spin magnetization	0.0	μB per cell
DOS(E_F)	3.1	states/eV per cell

Structure (POSCAR):
```
TaIrRu2
1.0
-3.600 -1.374 0.067
-0.041 -0.081 -3.853
3.208 -2.904 1.955
Ta Ir Ru
1 1 2
Direct
0.000 0.000 0.000
0.250 0.750 0.500
0.750 0.250 0.500
0.500 0.500 0.000
```

=====

Most stable to least stable: entry two, entry one

=====

Entry one
Here is a crystal of TaIr2Ru relaxed with PBEsol from Alexandria via LeMat-Bulk. Energies are from meta-GGA SCAN.

spin magnetization	0.0	μB per cell
DOS(E_F)	2.2	states/eV per cell

Structure (POSCAR):
```
TaIr2Ru
1.0
3.867 0.000 0.000
0.000 3.867 0.000
-1.933 -1.933 3.894
Ir Ru Ta
2 1 1
Direct
0.750 0.250 0.500
0.250 0.750 0.500
0.000 0.000 0.000
0.500 0.500 0.000
```

=====

Entry two
Here is a crystal of TaIr2Ru relaxed with PBEsol from Alexandria via LeMat-Bulk. Energies are from meta-GGA SCAN.

spin magnetization	2.0	μB per cell
DOS(E_F)	4.8	states/eV per cell

Structure (POSCAR):
```
TaIr2Ru
1.0
-1.154 2.118 3.668
-0.907 -2.265 3.649
2.757 0.141 3.413
Ir Ru Ta
2 1 1
Direct
0.750 0.750 0.750
0.000 0.000 0.000
0.500 0.500 0.500
0.250 0.250 0.250
```

=====

Most stable to least stable: entry one, entry two

=====

Entry one
Here is a crystal of TaIr2Ru relaxed with PBEsol from Alexandria via LeMat-Bulk. Energies are from meta-GGA SCAN.

spin magnetization	0.0	μB per cell
DOS(E_F)	2.1	states/eV per cell

Structure (POSCAR):
```
TaIr2Ru
1.0
2.772 0.000 0.000
0.000 4.406 0.000
0.000 0.000 4.773
Ta Ir Ru
1 2 1
Direct
0.500 0.500 0.212
0.000 0.000 0.038
0.000 0.500 0.698
0.500 0.000 0.552
```

=====

Entry two
Here is a crystal of TaIr2Ru relaxed with PBEsol from Alexandria via LeMat-Bulk. Energies are from meta-GGA SCAN.

spin magnetization	0.0	μB per cell
DOS(E_F)	3.4	states/eV per cell

Structure (POSCAR):
```
TaIr2Ru
1.0
-0.112 -1.729 -2.119
2.303 -1.090 -1.000
-0.078 -7.887 4.674
Ru Ir Ta
1 2 1
Direct
0.500 0.500 0.500
0.247 0.247 0.258
0.753 0.753 0.742
0.000 0.000 0.000
```

=====

Most stable to least stable: entry one, entry two

=====

Entry one
Here is a crystal of Tl2IrRu relaxed with PBEsol from Alexandria via LeMat-Bulk. Energies are from meta-GGA SCAN.

spin magnetization	0.0	μB per cell
DOS(E_F)	2.7	states/eV per cell

Structure (POSCAR):
```
Tl2IrRu
1.0
-0.595 -2.885 -0.633
4.656 -0.260 -2.553
-0.009 0.319 5.408
Tl Ir Ru
2 1 1
Direct
0.000 0.000 0.500
0.500 0.500 0.500
0.000 0.500 0.000
0.500 0.000 0.000
```

=====

Entry two
Here is a crystal of Tl2IrRu relaxed with PBEsol from Alexandria via LeMat-Bulk. Energies are from meta-GGA SCAN.

spin magnetization	0.0	μB per cell
DOS(E_F)	3.2	states/eV per cell

Structure (POSCAR):
```
Tl2IrRu
1.0
3.016 -0.005 0.000
-1.427 2.657 0.000
0.000 0.000 8.993
Tl Ru Ir
2 1 1
Direct
0.000 0.000 0.247
0.000 0.000 0.753
0.500 0.500 0.000
0.500 0.500 0.500
```

=====

Most stable to least stable: entry one, entry two

=====

Entry one
Here is a crystal of TlIr2Ru relaxed with PBEsol from Alexandria via LeMat-Bulk. Energies are from meta-GGA SCAN.

spin magnetization	0.0	μB per cell
DOS(E_F)	3.2	states/eV per cell

Structure (POSCAR):
```
TlIr2Ru
1.0
2.798 0.000 0.000
0.000 3.765 0.000
0.000 0.000 5.966
Ru Ir Tl
1 2 1
Direct
0.000 0.000 0.466
0.000 0.000 0.027
0.500 0.500 0.258
0.500 0.500 0.749
```

=====

Entry two
Here is a crystal of TlIr2Ru relaxed with PBEsol from Alexandria via LeMat-Bulk. Energies are from meta-GGA SCAN.

spin magnetization	0.7	μB per cell
DOS(E_F)	3.5	states/eV per cell

Structure (POSCAR):
```
TlIr2Ru
1.0
2.830 0.000 0.000
0.000 4.816 -0.009
0.000 -1.607 4.540
Ir Ru Tl
2 1 1
Direct
0.000 0.000 0.500
0.000 0.500 0.000
0.500 0.000 0.000
0.500 0.500 0.500
```

=====

Most stable to least stable: entry one, entry two

=====

Entry one
Here is a crystal of IrRuW2 relaxed with PBEsol from Alexandria via LeMat-Bulk. Energies are from meta-GGA SCAN.

spin magnetization	0.0	μB per cell
DOS(E_F)	2.5	states/eV per cell

Structure (POSCAR):
```
IrRuW2
1.0
-0.460 -2.582 -0.822
2.119 -1.318 2.953
-4.510 -0.198 3.148
Ir Ru W
1 1 2
Direct
0.500 0.500 0.000
0.500 0.500 0.500
0.000 0.000 0.747
0.000 0.000 0.253
```

=====

Entry two
Here is a crystal of IrRuW2 relaxed with PBEsol from Alexandria via LeMat-Bulk. Energies are from meta-GGA SCAN.

spin magnetization	0.0	μB per cell
DOS(E_F)	2.9	states/eV per cell

Structure (POSCAR):
```
IrRuW2
1.0
3.891 0.000 0.000
0.000 3.891 0.000
-1.946 -1.946 3.863
Ir Ru W
1 1 2
Direct
0.500 0.500 0.000
0.000 0.000 0.000
0.750 0.250 0.500
0.250 0.750 0.500
```

=====

Entry three
Here is a crystal of IrRuW2 relaxed with PBEsol from Alexandria via LeMat-Bulk. Energies are from meta-GGA SCAN.

spin magnetization	0.0	μB per cell
DOS(E_F)	3.2	states/eV per cell

Structure (POSCAR):
```
IrRuW2
1.0
2.770 0.000 0.000
0.000 4.436 0.000
0.000 0.000 4.763
Ru W Ir
1 2 1
Direct
0.500 0.500 0.193
0.000 0.000 0.054
0.000 0.500 0.700
0.500 0.000 0.553
```

=====

Most stable to least stable: entry two, entry one, entry three

=====

Entry one
Here is a crystal of YIr2Ru relaxed with PBEsol from Alexandria via LeMat-Bulk. Energies are from meta-GGA SCAN.

spin magnetization	0.0	μB per cell
DOS(E_F)	3.4	states/eV per cell

Structure (POSCAR):
```
YIr2Ru
1.0
2.835 0.000 0.000
0.000 3.847 0.000
0.000 0.000 5.956
Ru Ir Y
1 2 1
Direct
0.500 0.500 0.000
0.000 0.000 0.216
0.000 0.000 0.784
0.500 0.500 0.500
```

=====

Entry two
Here is a crystal of YIr2Ru relaxed with PBEsol from Alexandria via LeMat-Bulk. Energies are from meta-GGA SCAN.

spin magnetization	0.0	μB per cell
DOS(E_F)	3.2	states/eV per cell

Structure (POSCAR):
```
YIr2Ru
1.0
2.853 0.000 0.000
0.000 4.764 -0.011
0.000 -1.468 4.635
Ir Ru Y
2 1 1
Direct
0.000 0.000 0.000
0.500 0.500 0.000
0.500 0.000 0.500
0.000 0.500 0.500
```

=====

Most stable to least stable: entry one, entry two